1.
A relaxed NdPuMnN3 crystal, computed with PBE.

CIF file:
```
data_NdPuMnN3
_space_group_name_H-M_alt 'P 1'
_space_group_IT_number 1
_space_group_name_Hall 'P 1'
_cell_length_a 3.446
_cell_length_b 7.186
_cell_length_c 7.450
_cell_angle_alpha 97.68
_cell_angle_beta 90.00
_cell_angle_gamma 90.00
loop_
_atom_site_label
_atom_site_type_symbol
_atom_site_fract_x
_atom_site_fract_y
_atom_site_fract_z
_atom_site_occupancy
Nd1 Nd 0.750 0.836 0.821 1
Nd2 Nd 0.250 0.164 0.179 1
Pu1 Pu 0.250 0.642 0.173 1
Pu2 Pu 0.750 0.358 0.827 1
Mn1 Mn 0.250 0.075 0.596 1
Mn2 Mn 0.750 0.925 0.404 1
N1 N 0.250 0.836 0.471 1
N2 N 0.750 0.872 0.151 1
N3 N 0.750 0.413 0.134 1
N4 N 0.750 0.164 0.529 1
N5 N 0.250 0.587 0.866 1
N6 N 0.250 0.128 0.849 1
```

=====

2.
# PBE MgPb2Br, optimized geometry
# ΔE to the lowest computed polymorph = 271 meV per atom
data_MgPb2Br
_space_group_name_H-M_alt 'P 1'
_space_group_IT_number 1
_space_group_name_Hall 'P 1'
_cell_length_a 6.118
_cell_length_b 6.118
_cell_length_c 6.118
_cell_angle_alpha 133.90
_cell_angle_beta 133.90
_cell_angle_gamma 67.24
loop_
_atom_site_label
_atom_site_type_symbol
_atom_site_fract_x
_atom_site_fract_y
_atom_site_fract_z
_atom_site_occupancy
Br1 Br 0.250 0.750 0.500 1
Mg1 Mg 0.750 0.250 0.500 1
Pb1 Pb 0.000 0.000 0.000 1
Pb2 Pb 0.500 0.500 0.000 1

=====

| no. | size of the total moment (μB per cell) | electronic total energy (eV/atom) |
| --- | --- | --- |
| 1 | 9.96 | -9.807 |
| 2 | 0.00 | -2.747 |